This record from Alexandria via LeMat-Bulk describes a relaxed structure of CaRu3Au. The functional is GGA-PBE.

Calculated values
Space-group type   Pm-3m
V   20.49 Å³/atom
M_tot   5.1 μB per formula unit
ΔE_f   2205 meV per atom

Unit cell a=4.679 b=4.679 c=4.679 alpha=90.00 beta=90.00 gamma=90.00
Element x y z (fractional)
Ca 0.000 0.000 0.000
Ru 0.000 0.000 0.500
Ru 0.000 0.500 0.000
Ru 0.500 0.000 0.000
Au 0.500 0.500 0.500